Pm5Y8Mg: optimized geometry, PBE.

## Properties
Its total energy is -148.1 eV per cell. Its energy relative to the elements is 213.4 meV per atom. The value obtained for the spin magnetization is 0.00 μB per formula unit.

Structure (CIF):
```
data_Pm5Y8Mg
_space_group_name_H-M_alt 'I -4'
_space_group_IT_number 82
_cell_length_a 9.674
_cell_length_b 9.674
_cell_length_c 10.052
_cell_angle_alpha 90.00
_cell_angle_beta 90.00
_cell_angle_gamma 90.00
loop_
_space_group_symop_operation_xyz
'x,y,z'
'y,-x,-z'
'-x,-y,z'
'-y,x,-z'
'x+1/2,y+1/2,z+1/2'
'y+1/2,-x+1/2,-z+1/2'
'-x+1/2,-y+1/2,z+1/2'
'-y+1/2,x+1/2,-z+1/2'
loop_
_atom_site_label
_atom_site_fract_x
_atom_site_fract_y
_atom_site_fract_z
Pm1 0.000 0.000 0.000
Pm2 0.103 0.788 0.578
Y1 0.070 0.675 0.906
Y2 0.084 0.816 0.245
Mg1 0.000 0.500 0.250
```

***

Pm3YMg: optimized geometry, PBE.

## Properties
Its total energy is -89.3 eV per cell. As for the energy relative to the lowest polymorph listed for this composition: 0.018 eV per atom. Its energy relative to the elements is -1.6 meV per atom. The value obtained for the spin magnetization is 0.00 μB per formula unit.

Structure (CIF):
```
data_Pm3YMg
_space_group_name_H-M_alt 'C 1 2/m 1'
_space_group_IT_number 12
_cell_length_a 11.568
_cell_length_b 5.311
_cell_length_c 10.497
_cell_angle_alpha 90.00
_cell_angle_beta 96.70
_cell_angle_gamma 90.00
loop_
_space_group_symop_operation_xyz
'x,y,z'
'-x,-y,-z'
'-x,y,-z'
'x,-y,z'
'x+1/2,y+1/2,z'
'-x+1/2,-y+1/2,-z'
'-x+1/2,y+1/2,-z'
'x+1/2,-y+1/2,z'
loop_
_atom_site_label
_atom_site_fract_x
_atom_site_fract_y
_atom_site_fract_z
Pm1 0.034 0.000 0.339
Pm2 0.083 0.500 0.872
Pm3 0.231 0.500 0.228
Y1 0.155 0.500 0.553
Mg1 0.127 0.000 0.051
```

***

Pm2YMg: optimized geometry, PBE.

## Properties
Its total energy is -69.7 eV per cell. As for the energy relative to the lowest polymorph listed for this composition: 0.078 eV per atom. Its energy relative to the elements is 36.3 meV per atom. The value obtained for the spin magnetization is 0.00 μB per formula unit.

Structure (CIF):
```
data_Pm2YMg
_space_group_name_H-M_alt 'F m -3 m'
_space_group_IT_number 225
_space_group_name_Hall '-F 4 2 3'
_cell_length_a 7.923
_cell_length_b 7.923
_cell_length_c 7.923
_cell_angle_alpha 90.00
_cell_angle_beta 90.00
_cell_angle_gamma 90.00
loop_
_atom_site_label
_atom_site_fract_x
_atom_site_fract_y
_atom_site_fract_z
Pm1 0.250 0.250 0.250
Y1 0.000 0.000 0.000
Mg1 0.000 0.000 0.500
```

***

Pm5Y2Mg: optimized geometry, PBE.

## Properties
Its total energy is -76.4 eV per cell. Its energy relative to the elements is 9.1 meV per atom. The value obtained for the spin magnetization is 0.00 μB per formula unit.

Structure (CIF):
```
data_Pm5Y2Mg
_space_group_name_H-M_alt 'I 4/m m m'
_space_group_IT_number 139
_space_group_name_Hall '-I 4 2'
_cell_length_a 7.171
_cell_length_b 7.171
_cell_length_c 10.061
_cell_angle_alpha 90.00
_cell_angle_beta 90.00
_cell_angle_gamma 90.00
loop_
_atom_site_label
_atom_site_fract_x
_atom_site_fract_y
_atom_site_fract_z
Pm1 0.000 0.000 0.000
Pm2 0.250 0.250 0.250
Y1 0.000 0.500 0.000
Mg1 0.000 0.000 0.500
```

***

Pm2YMg: optimized geometry, PBE.

## Properties
Its total energy is -17.7 eV per cell. As for the energy relative to the lowest polymorph listed for this composition: 0.008 eV per atom. Its energy relative to the elements is -33.2 meV per atom. The value obtained for the spin magnetization is 0.00 μB per formula unit.

Structure (CIF):
```
data_Pm2YMg
_space_group_name_H-M_alt 'P 4/m m m'
_space_group_IT_number 123
_space_group_name_Hall '-P 4 2'
_cell_length_a 3.728
_cell_length_b 3.728
_cell_length_c 8.998
_cell_angle_alpha 90.00
_cell_angle_beta 90.00
_cell_angle_gamma 90.00
loop_
_atom_site_label
_atom_site_fract_x
_atom_site_fract_y
_atom_site_fract_z
Pm1 0.000 0.000 0.227
Y1 0.500 0.500 0.500
Mg1 0.500 0.500 0.000
```

***

Pm2YMg2: optimized geometry, PBE.

## Properties
Its total energy is -58.3 eV per cell. As for the energy relative to the lowest polymorph listed for this composition: 0.022 eV per atom. Its energy relative to the elements is -57.8 meV per atom. The value obtained for the spin magnetization is 0.00 μB per formula unit.

Structure (CIF):
```
data_Pm2YMg2
_space_group_name_H-M_alt 'R -3 m'
_space_group_IT_number 166
_space_group_name_Hall '-R 3 2"'
_cell_length_a 5.4824
_cell_length_b 5.4824
_cell_length_c 17.0702
_cell_angle_alpha 90.00
_cell_angle_beta 90.00
_cell_angle_gamma 120.00
loop_
_atom_site_label
_atom_site_fract_x
_atom_site_fract_y
_atom_site_fract_z
Pm1 0.0000 0.0000 0.2153
Y1 0.0000 0.0000 0.0000
Mg1 0.0000 0.0000 0.4109
```

***

PmY2Mg: optimized geometry, PBE.

## Properties
Its total energy is -19.4 eV per cell. As for the energy relative to the lowest polymorph listed for this composition: 0.000 eV per atom. Its energy relative to the elements is -36.6 meV per atom. The value obtained for the spin magnetization is 0.00 μB per formula unit.

Structure (CIF):
```
data_PmY2Mg
_space_group_name_H-M_alt 'P 4/m m m'
_space_group_IT_number 123
_space_group_name_Hall '-P 4 2'
_cell_length_a 3.685
_cell_length_b 3.685
_cell_length_c 9.011
_cell_angle_alpha 90.00
_cell_angle_beta 90.00
_cell_angle_gamma 90.00
loop_
_atom_site_label
_atom_site_fract_x
_atom_site_fract_y
_atom_site_fract_z
Pm1 0.000 0.000 0.000
Y1 0.500 0.500 0.277
Mg1 0.000 0.000 0.500
```

***

PmYMgZr: optimized geometry, PBE.

## Properties
Its total energy is -83.4 eV per cell. Its energy relative to the elements is 127.6 meV per atom. The value obtained for the spin magnetization is 1.95 μB per formula unit.

Structure (CIF):
```
data_PmYMgZr
_space_group_name_H-M_alt 'F -4 3 m'
_space_group_IT_number 216
_space_group_name_Hall 'F -4 2 3'
_cell_length_a 7.642
_cell_length_b 7.642
_cell_length_c 7.642
_cell_angle_alpha 90.00
_cell_angle_beta 90.00
_cell_angle_gamma 90.00
loop_
_atom_site_label
_atom_site_fract_x
_atom_site_fract_y
_atom_site_fract_z
Pm1 0.000 0.000 0.000
Y1 0.000 0.000 0.500
Mg1 0.250 0.250 0.750
Zr1 0.250 0.250 0.250
```

***

Pm11Mg9Zn4: optimized geometry, PBE.

## Properties
Its total energy is -151.1 eV per cell. Its energy relative to the elements is -160.3 meV per atom. The value obtained for the spin magnetization is 0.00 μB per formula unit.

Structure (CIF):
```
data_Pm11Mg9Zn4
_space_group_name_H-M_alt 'C m m m'
_space_group_IT_number 65
_space_group_name_Hall '-C 2 2'
_cell_length_a 15.077
_cell_length_b 22.872
_cell_length_c 3.791
_cell_angle_alpha 90.00
_cell_angle_beta 90.00
_cell_angle_gamma 90.00
loop_
_atom_site_label
_atom_site_fract_x
_atom_site_fract_y
_atom_site_fract_z
Pm1 0.000 0.000 0.000
Pm2 0.000 0.161 0.000
Pm3 0.000 0.359 0.000
Pm4 0.215 0.500 0.000
Pm5 0.246 0.169 0.000
Mg1 0.000 0.500 0.500
Mg2 0.110 0.257 0.500
Mg3 0.138 0.075 0.500
Zn1 0.143 0.406 0.500
```

***

Pm2MgZn5: optimized geometry, PBE.

## Properties
Its total energy is -38.4 eV per cell. As for the energy relative to the lowest polymorph listed for this composition: 0.034 eV per atom. Its energy relative to the elements is -219.4 meV per atom. The value obtained for the spin magnetization is 0.00 μB per formula unit.

Structure (CIF):
```
data_Pm2MgZn5
_space_group_name_H-M_alt 'C 1 m 1'
_space_group_IT_number 8
_cell_length_a 7.553
_cell_length_b 9.488
_cell_length_c 6.060
_cell_angle_alpha 90.00
_cell_angle_beta 128.53
_cell_angle_gamma 90.00
loop_
_space_group_symop_operation_xyz
'x,y,z'
'x,-y,z'
'x+1/2,y+1/2,z'
'x+1/2,-y+1/2,z'
loop_
_atom_site_label
_atom_site_fract_x
_atom_site_fract_y
_atom_site_fract_z
Pm1 0.000 0.250 0.000
Mg1 0.347 0.000 0.499
Zn1 0.005 0.199 0.500
Zn2 0.203 0.000 0.897
Zn3 0.224 0.500 0.500
Zn4 0.307 0.500 0.103
```

***

PmMg9Zn3: optimized geometry, PBE.

## Properties
Its total energy is -48.9 eV per cell. Its energy relative to the elements is -117.6 meV per atom. The value obtained for the spin magnetization is 0.00 μB per formula unit.

Structure (CIF):
```
data_PmMg9Zn3
_space_group_name_H-M_alt 'C 1 2/m 1'
_space_group_IT_number 12
_cell_length_a 5.695
_cell_length_b 13.916
_cell_length_c 7.491
_cell_angle_alpha 90.00
_cell_angle_beta 111.47
_cell_angle_gamma 90.00
loop_
_space_group_symop_operation_xyz
'x,y,z'
'-x,-y,-z'
'-x,y,-z'
'x,-y,z'
'x+1/2,y+1/2,z'
'-x+1/2,-y+1/2,-z'
'-x+1/2,y+1/2,-z'
'x+1/2,-y+1/2,z'
loop_
_atom_site_label
_atom_site_fract_x
_atom_site_fract_y
_atom_site_fract_z
Pm1 0.000 0.000 0.000
Mg1 0.000 0.000 0.500
Mg2 0.099 0.391 0.210
Mg3 0.172 0.177 0.341
Zn1 0.000 0.500 0.500
Zn2 0.250 0.250 0.000
```